Entry 1:
Here is a geometry-optimized Co2SeBr structure from Alexandria via LeMat-Bulk. Energies are from PBE.

Lattice parameters (Å, degrees): 3.683 3.683 6.735 89.56 90.00 90.00
Each line ends with the local moment (μB).
Element x y z (fractional)
Se 0.000 0.372 0.350  0.06
Br 0.500 0.878 0.882  0.18
Co 0.500 0.375 0.134  1.65
Co 0.000 0.875 0.134  1.65

Crystal system: monoclinic
Symmetry: Pm, No. 6
Energy relative to the elements, uncorrected in eV per atom: -0.062

---

Entry 2:
Here is a geometry-optimized Tl4TeBrCl structure from Alexandria via LeMat-Bulk. Energies are from PBE.

Lattice parameters (Å, degrees): 8.158 7.415 9.121 90.00 107.85 90.00
Element x y z (fractional)
Te 0.260 0.250 0.568
Br 0.773 0.750 0.954
Tl 0.056 0.980 0.748
Tl 0.451 0.750 0.104
Cl 0.213 0.750 0.297
Te 0.740 0.750 0.432
Tl 0.464 0.750 0.620
Tl 0.944 0.020 0.252
Tl 0.549 0.250 0.896
Tl 0.536 0.250 0.380
Tl 0.944 0.480 0.252
Cl 0.787 0.250 0.703
Br 0.227 0.250 0.046
Tl 0.056 0.520 0.748

Crystal system: monoclinic
Symmetry: P2_1/m, No. 11
Energy relative to the elements, uncorrected in eV per atom: -0.587

---

Entry 3:
Here is a geometry-optimized Pr2Nd2N3 structure from Alexandria via LeMat-Bulk. Energies are from PBE.

Lattice parameters (Å, degrees): 3.678 6.419 6.441 100.85 106.59 90.00
Each line ends with the local moment (μB).
Element x y z (fractional)
N 0.000 0.000 0.000  0.00
N 0.257 0.749 0.513  0.00
Nd 0.864 0.641 0.727  0.05
Pr 0.624 0.884 0.249  0.04
Nd 0.136 0.359 0.273  0.05
N 0.743 0.251 0.487  0.00
Pr 0.376 0.116 0.751  0.04

Crystal system: monoclinic
Symmetry: C2/m, No. 12
Energy relative to the elements, uncorrected in eV per atom: -1.138

---

Entry 4:
Here is a geometry-optimized Ag3BiAu3 structure from Alexandria via LeMat-Bulk. Energies are from PBE.

Lattice parameters (Å, degrees): 8.314 8.314 8.314 90.00 90.00 90.00
Element x y z (fractional)
Ag 0.816 0.684 0.316
Ag 0.331 0.169 0.831
Au 0.312 0.106 0.492
Au 0.508 0.812 0.394
Au 0.394 0.508 0.812
Au 0.106 0.492 0.312
Bi 0.453 0.453 0.453
Au 0.894 0.992 0.188
Ag 0.368 0.632 0.132
Ag 0.169 0.831 0.331
Au 0.812 0.394 0.508
Ag 0.632 0.132 0.368
Ag 0.669 0.669 0.669
Ag 0.868 0.868 0.868
Ag 0.684 0.316 0.816
Ag 0.132 0.368 0.632
Bi 0.547 0.953 0.047
Au 0.688 0.606 0.008
Au 0.188 0.894 0.992
Au 0.008 0.688 0.606
Au 0.606 0.008 0.688
Ag 0.316 0.816 0.684
Bi 0.953 0.047 0.547
Au 0.992 0.188 0.894
Au 0.492 0.312 0.106
Bi 0.047 0.547 0.953
Ag 0.831 0.331 0.169
Ag 0.184 0.184 0.184

Crystal system: cubic
ΔH_f (0 K) in kJ/mol of atoms: 2.53
Symmetry: P2_13, No. 198

---

Entry 5:
Here is a geometry-optimized BeCrSb2 structure from Alexandria via LeMat-Bulk. Energies are from PBE.

Lattice parameters (Å, degrees): 3.277 3.277 7.514 90.00 90.00 105.79
Each line ends with the local moment (μB).
Element x y z (fractional)
Be 0.500 0.500 0.250  0.02
Sb 0.000 0.000 0.010  -0.07
Sb 0.000 0.000 0.490  -0.07
Cr 0.500 0.500 0.750  3.19

Crystal system: orthorhombic
Symmetry: Cmmm, No. 65
Energy relative to the elements, uncorrected in eV per atom: 0.563

---

Entry 6:
Here is a geometry-optimized BaAlIr3 structure from Alexandria via LeMat-Bulk. Energies are from PBE.

Lattice parameters (Å, degrees): 4.705 4.705 4.705 90.00 90.00 90.00
Element x y z (fractional)
Ir 0.000 0.000 0.500
Ir 0.000 0.500 0.000
Ba 0.500 0.500 0.500
Al 0.000 0.000 0.000
Ir 0.500 0.000 0.000

Crystal system: cubic
ΔH_f (0 K) in kJ/mol of atoms: 42.28
Symmetry: Pm-3m, No. 221

---

Entry 7:
Here is a geometry-optimized W2CI structure from Alexandria via LeMat-Bulk. Energies are from PBE.

Lattice parameters (Å, degrees): 4.873 4.873 7.268 70.41 70.41 90.00
Element x y z (fractional)
C 0.500 0.500 0.000
W 0.496 0.125 0.250
W 0.375 0.504 0.750
W 0.875 0.746 0.750
C 0.250 0.750 0.500
W 0.254 0.625 0.250
I 0.000 0.000 0.000
I 0.750 0.250 0.500

Crystal system: tetragonal
Symmetry: I-42d, No. 122
Energy relative to the elements, uncorrected in eV per atom: 1.186

---

Entry 8:
Here is a geometry-optimized CuAu structure from Alexandria via LeMat-Bulk. Energies are from PBE.

Lattice parameters (Å, degrees): 8.937 8.937 8.937 18.36 18.36 18.36
Element x y z (fractional)
Au 0.007 0.007 0.007
Cu 0.494 0.494 0.494
Cu 0.756 0.756 0.756
Au 0.243 0.243 0.243

Crystal system: trigonal
ΔH_f (0 K) in kJ/mol of atoms: 6.64
Symmetry: R-3m, No. 166